Entry 1:
Density functional theory data (GGA-PBE) for Sm2PuPa after structural relaxation.

a b c (Å): 12.228 12.228 12.228
angles (deg): 15.97 15.97 15.97
Sites, in units of the cell vectors:
Sm (0.091, 0.091, 0.091)
Sm (0.909, 0.909, 0.909)
Pu (0.000, 0.000, 0.000)
Pa (0.500, 0.500, 0.500)

Summary:
VASP energy   -8.0006 eV/atom
Energy relative to the elements   316.0 meV per atom
Crystal system   trigonal


Entry 2:
Density functional theory data (GGA-PBE) for SmPuPaSn after structural relaxation.

a b c (Å): 5.291 5.291 5.291
angles (deg): 60.00 60.00 60.00
Sites, in units of the cell vectors:
Sm (0.000, 0.000, 0.000)
Pu (0.500, 0.500, 0.500)
Pa (0.250, 0.250, 0.250)
Sn (0.750, 0.750, 0.750)

Summary:
VASP energy   -8.1635 eV/atom
Energy relative to the elements   -26.0 meV per atom
Crystal system   cubic


Entry 3:
Density functional theory data (GGA-PBE) for SmPu2PaTe5 after structural relaxation.

a b c (Å): 5.622 5.622 11.693
angles (deg): 90.00 90.00 90.00
Sites, in units of the cell vectors:
Sm (0.000, 0.000, 0.000)
Pu (0.500, 0.500, 0.336)
Pu (0.500, 0.500, 0.664)
Pa (0.000, 0.000, 0.500)
Te (0.000, 0.000, 0.248)
Te (0.000, 0.000, 0.752)
Te (0.000, 0.500, 0.500)
Te (0.500, 0.000, 0.500)
Te (0.500, 0.500, 0.000)

Summary:
Energy relative to the elements, uncorrected   -47.68 kJ per mole of atoms
VASP energy   -7.0038 eV/atom
Crystal system   tetragonal


Entry 4:
Density functional theory data (GGA-PBE) for PuPaSn after structural relaxation.

a b c (Å): 5.448 5.448 5.448
angles (deg): 136.06 136.06 63.88
Sites, in units of the cell vectors:
Pu (0.000, 0.000, 0.000)
Pa (0.304, 0.304, 0.000)
Sn (0.652, 0.652, 0.000)

Summary:
Relative energy among the computed polymorphs   0.0 meV/atom
VASP energy   -9.5124 eV/atom
Energy relative to the elements   -235.5 meV per atom
Crystal system   tetragonal


Entry 5:
Density functional theory data (GGA-PBE) for Pu2Pa2Sn after structural relaxation.

a b c (Å): 5.170 5.170 11.952
angles (deg): 90.00 90.00 120.00
Sites, in units of the cell vectors:
Pu (0.333, 0.667, 0.081)
Pu (0.333, 0.667, 0.419)
Pu (0.667, 0.333, 0.581)
Pu (0.667, 0.333, 0.919)
Pa (0.000, 0.000, 0.000)
Pa (0.000, 0.000, 0.500)
Pa (0.333, 0.667, 0.750)
Pa (0.667, 0.333, 0.250)
Sn (0.000, 0.000, 0.250)
Sn (0.000, 0.000, 0.750)

Summary:
VASP energy   -10.0504 eV/atom
Energy relative to the elements   281.3 meV per atom
Crystal system   hexagonal


Entry 6:
Density functional theory data (GGA-PBE) for PuPa2Sn after structural relaxation.

a b c (Å): 5.219 5.219 5.219
angles (deg): 60.00 60.00 60.00
Sites, in units of the cell vectors:
Pu (0.000, 0.000, 0.000)
Pa (0.250, 0.250, 0.250)
Pa (0.750, 0.750, 0.750)
Sn (0.500, 0.500, 0.500)

Summary:
Relative energy among the computed polymorphs   162.8 meV/atom
VASP energy   -9.3640 eV/atom
Energy relative to the elements   -32.4 meV per atom
Crystal system   cubic


- Which formula does entry 5 have?
  Pu2Pa2Sn


- Among the records above, which one has the highest VASP energy?
  SmPu2PaTe5